[1]
First-principles (GGA-PBE) data for a relaxed Tl3SN crystal, as listed in Alexandria.

Summary:
Energy above the most stable polymorph in this dataset: 14.0 kJ per mole of atoms
ρ: 8.86 Mg/m³
Total energy: -0.1256 hartree per atom
ΔE_f (raw): 2.46 eV per formula unit
Symmetry: Pm-3m (221)

The structure in POSCAR format:
```
Tl3SN
1.0
4.980 0.000 0.000
0.000 4.980 0.000
0.000 0.000 4.980
Tl S N
3 1 1
direct
0.000 0.500 0.000
0.000 0.000 0.500
0.500 0.000 0.000
0.500 0.500 0.500
0.000 0.000 0.000
```

***

[2]
First-principles (GGA-PBE) data for a relaxed TlSN2 crystal, as listed in Alexandria.

Summary:
Energy above the most stable polymorph in this dataset: 0.0 kJ per mole of atoms
ρ: 4.38 Mg/m³
Total energy: -0.1784 hartree per atom
ΔE_f (raw): 3.73 eV per formula unit
Symmetry: R-3m (166)

The structure in POSCAR format:
```
TlSN2
1.0
2.495 0.000 6.201
-1.247 2.161 6.201
-1.247 -2.161 6.201
Tl S N
1 1 2
direct
0.500 0.500 0.500
0.000 0.000 0.000
0.919 0.919 0.919
0.081 0.081 0.081
```

***

[3]
First-principles (GGA-PBE) data for a relaxed Tl2SN2 crystal, as listed in Alexandria.

Summary:
ρ: 4.50 Mg/m³
Total energy: -0.1947 hartree per atom
ΔE_f (raw): -0.97 eV per formula unit
Symmetry: C2/m (12)

The structure in POSCAR format:
```
Tl2SN2
1.0
3.947 0.000 1.356
1.903 3.617 0.884
-1.735 -0.586 11.473
Tl S N
2 1 2
direct
0.261 0.329 0.149
0.739 0.671 0.851
0.000 0.000 0.000
0.538 0.390 0.534
0.462 0.610 0.466
```

***

[4]
First-principles (GGA-PBE) data for a relaxed Tl2SN crystal, as listed in Alexandria.

Summary:
Energy above the most stable polymorph in this dataset: 0.0 kJ per mole of atoms
ρ: 7.72 Mg/m³
Total energy: -0.1427 hartree per atom
ΔE_f (raw): 1.65 eV per formula unit
Symmetry: I-42d (122)

The structure in POSCAR format:
```
Tl2SN
1.0
-4.134 -2.408 3.391
3.485 0.605 4.678
-2.526 4.249 5.009
Tl S N
4 2 2
direct
0.562 0.125 0.250
0.188 0.625 0.250
0.375 0.438 0.750
0.875 0.812 0.750
0.000 0.000 0.000
0.750 0.250 0.500
0.500 0.500 0.000
0.250 0.750 0.500
```

***

[5]
First-principles (GGA-PBE) data for a relaxed TlS2N2 crystal, as listed in Alexandria.

Summary:
Energy above the most stable polymorph in this dataset: 78.3 kJ per mole of atoms
ρ: 5.44 Mg/m³
Total energy: -0.1502 hartree per atom
ΔE_f (raw): 6.84 eV per formula unit
Symmetry: P4/mmm (123)

The structure in POSCAR format:
```
TlS2N2
1.0
3.620 0.000 0.000
0.000 3.620 0.000
0.000 0.000 6.900
Tl S N
1 2 2
direct
0.500 0.500 0.500
0.000 0.000 0.000
0.000 0.000 0.500
0.000 0.500 0.000
0.500 0.000 0.000
```

***

[6]
First-principles (GGA-PBE) data for a relaxed Tl2SN crystal, as listed in Alexandria.

Summary:
Energy above the most stable polymorph in this dataset: 55.2 kJ per mole of atoms
ρ: 8.00 Mg/m³
Total energy: -0.1217 hartree per atom
ΔE_f (raw): 3.94 eV per formula unit
Symmetry: Fm-3m (225)

The structure in POSCAR format:
```
Tl2SN
1.0
-1.593 -4.599 1.559
0.925 -1.538 4.785
-3.840 -0.373 3.352
Tl S N
2 1 1
direct
0.250 0.250 0.250
0.750 0.750 0.750
0.500 0.500 0.500
0.000 0.000 0.000
```